Compound: CsRbTa
Source: OQMD via LeMat-Bulk
Functional: GGA-PBE
Structure: optimized geometry

The calculation puts the energy above the lowest structure with this stoichiometry at 154 meV per atom.

Unit cell a=8.8514 b=8.8514 c=8.8514 alpha=90.00 beta=90.00 gamma=90.00
Last column: nearest neighbours and their distance in Å.
Space group F-43m (No. 216)
Symmetry-distinct sites (fractional):
Cs: 0.0000 0.0000 0.0000 x4  4 Rb 3.83, 4 Ta 3.83
Rb: 0.2500 0.2500 0.7500 x4  4 Cs 3.83
Ta: 0.2500 0.2500 0.2500 x4  4 Cs 3.83

***

Compound: CsRb2TaTe4
Source: OQMD via LeMat-Bulk
Functional: GGA-PBE
Structure: optimized geometry

Its total energy is -4.19 eV/atom.

Unit cell a=8.9305 b=8.9305 c=9.2853 alpha=90.00 beta=90.00 gamma=90.00
Last column: nearest neighbours and their distance in Å.
Space group I-42m (No. 121)
Symmetry-distinct sites (fractional):
Cs: 0.0000 0.0000 0.0000 x2  4 Te 3.79
Rb: 0.0000 0.5000 0.0000 x4  4 Te 3.65
Ta: 0.0000 0.0000 0.5000 x2  4 Te 2.64
Te: 0.1707 0.1707 0.3357 x8  1 Ta 2.64

***

Compound: CsRbTc
Source: OQMD via LeMat-Bulk
Functional: GGA-PBE
Structure: optimized geometry

The calculation puts the energy above the lowest structure with this stoichiometry at 0 meV per atom.

Unit cell a=8.4928 b=8.4928 c=8.4928 alpha=90.00 beta=90.00 gamma=90.00
Last column: nearest neighbours and their distance in Å.
Space group F-43m (No. 216)
Symmetry-distinct sites (fractional):
Cs: 0.0000 0.0000 0.0000 x4  4 Rb 3.68, 4 Tc 3.68
Rb: 0.2500 0.2500 0.7500 x4  4 Cs 3.68
Tc: 0.2500 0.2500 0.2500 x4  4 Cs 3.68

***

Compound: CsRbTc
Source: OQMD via LeMat-Bulk
Functional: GGA-PBE
Structure: optimized geometry

The calculation puts the energy above the lowest structure with this stoichiometry at 5 meV per atom.

Unit cell a=8.5967 b=8.5967 c=8.5967 alpha=90.00 beta=90.00 gamma=90.00
Last column: nearest neighbours and their distance in Å.
Space group F-43m (No. 216)
Symmetry-distinct sites (fractional):
Cs: 0.0000 0.0000 0.0000 x4  4 Rb 3.72
Rb: 0.2500 0.2500 0.2500 x4  4 Tc 3.72, 4 Cs 3.72
Tc: 0.0000 0.0000 0.5000 x4  4 Rb 3.72

***

Compound: CsRbZrTe3
Source: OQMD via LeMat-Bulk
Functional: GGA-PBE
Structure: optimized geometry

The calculation puts the energy above the lowest structure with this stoichiometry at 0 meV per atom.

Unit cell a=9.2069 b=4.3758 c=11.9892 alpha=90.00 beta=96.67 gamma=90.00
Last column: nearest neighbours and their distance in Å.
Space group P2_1/m (No. 11)
Symmetry-distinct sites (fractional):
Cs: 0.0837 0.2500 0.1417 x2  6 Te 3.67-3.90
Rb: 0.2520 0.7500 0.4804 x2  6 Te 3.62-3.94
Zr: 0.4041 0.2500 0.8281 x2  5 Te 2.77-3.00
Te: 0.1377 0.2500 0.6952 x2  1 Zr 2.77
Te: 0.3274 0.7500 0.9827 x2  3 Zr 3.00-3.15
Te: 0.4567 0.2500 0.2889 x2  2 Zr 2.97

***

Compound: CsRbZrTe3
Source: OQMD via LeMat-Bulk
Functional: GGA-PBE
Structure: optimized geometry

The calculation puts the energy above the lowest structure with this stoichiometry at 217 meV per atom.

Unit cell a=4.3004 b=20.4305 c=12.9504 alpha=90.00 beta=90.00 gamma=90.00
Last column: nearest neighbours and their distance in Å.
Space group Cmcm (No. 63)
Symmetry-distinct sites (fractional):
Cs: 0.0000 0.1572 0.2500 x4  4 Te 3.47-3.70
Rb: 0.0000 0.1259 0.7500 x4  4 Te 3.29-3.51
Zr: 0.0000 0.5000 0.0000 x4  6 Te 2.92-3.24
Te: 0.0000 0.0970 0.9998 x8  2 Zr 2.92
Te: 0.0000 0.4904 0.7500 x4  2 Zr 3.24, 2 Rb 3.51

***

Compound: CsRbZrTe3
Source: OQMD via LeMat-Bulk
Functional: GGA-PBE
Structure: optimized geometry

The calculation puts the energy above the lowest structure with this stoichiometry at 74 meV per atom.

Unit cell a=17.9645 b=4.4197 c=13.3055 alpha=90.00 beta=90.00 gamma=90.00
Last column: nearest neighbours and their distance in Å.
Space group Pnma (No. 62)
Symmetry-distinct sites (fractional):
Cs: 0.1947 0.2500 0.2129 x4  5 Te 3.65-3.85
Rb: 0.1159 0.2500 0.5606 x4  4 Te 3.49-3.90
Zr: 0.0497 0.7500 0.8601 x4  6 Te 2.78-3.03
Te: 0.0114 0.2500 0.3319 x4  1 Zr 2.78
Te: 0.0578 0.7500 0.0840 x4  3 Zr 2.98-3.03
Te: 0.1612 0.2500 0.8476 x4  2 Zr 2.99

***

Compound: CsRbTh
Source: OQMD via LeMat-Bulk
Functional: GGA-PBE
Structure: optimized geometry

The calculation puts the energy above the lowest structure with this stoichiometry at 0 meV per atom.

Unit cell a=9.8425 b=9.8425 c=9.8425 alpha=90.00 beta=90.00 gamma=90.00
Last column: nearest neighbours and their distance in Å.
Space group F-43m (No. 216)
Symmetry-distinct sites (fractional):
Cs: 0.0000 0.0000 0.0000 x4  4 Th 4.26
Rb: 0.0000 0.0000 0.5000 x4  4 Th 4.26
Th: 0.2500 0.2500 0.2500 x4  4 Rb 4.26, 4 Cs 4.26

***

Compound: CsRbTm
Source: OQMD via LeMat-Bulk
Functional: GGA-PBE
Structure: optimized geometry

The calculation puts the energy above the lowest structure with this stoichiometry at 0 meV per atom.

Unit cell a=9.8002 b=9.8002 c=9.8002 alpha=90.00 beta=90.00 gamma=90.00
Last column: nearest neighbours and their distance in Å.
Space group F-43m (No. 216)
Symmetry-distinct sites (fractional):
Cs: 0.0000 0.0000 0.0000 x4  4 Rb 4.24
Rb: 0.2500 0.2500 0.2500 x4  4 Tm 4.24, 4 Cs 4.24
Tm: 0.0000 0.0000 0.5000 x4  4 Rb 4.24

***

Compound: CsRbU
Source: OQMD via LeMat-Bulk
Functional: GGA-PBE
Structure: optimized geometry

Its total energy is -2.55 eV/atom.

Unit cell a=9.5763 b=9.5763 c=9.5763 alpha=90.00 beta=90.00 gamma=90.00
Last column: nearest neighbours and their distance in Å.
Space group F-43m (No. 216)
Symmetry-distinct sites (fractional):
Cs: 0.0000 0.0000 0.0000 x4  4 U 4.15
Rb: 0.0000 0.0000 0.5000 x4  4 U 4.15
U: 0.2500 0.2500 0.2500 x4  4 Rb 4.15, 4 Cs 4.15

***

Compound: CsRbW
Source: OQMD via LeMat-Bulk
Functional: GGA-PBE
Structure: optimized geometry

Its total energy is -2.76 eV/atom.

Unit cell a=8.8788 b=8.8788 c=8.8788 alpha=90.00 beta=90.00 gamma=90.00
Last column: nearest neighbours and their distance in Å.
Space group F-43m (No. 216)
Symmetry-distinct sites (fractional):
Cs: 0.0000 0.0000 0.0000 x4  4 Rb 3.84
Rb: 0.2500 0.2500 0.2500 x4  4 W 3.84, 4 Cs 3.84
W: 0.0000 0.0000 0.5000 x4  4 Rb 3.84

***

Compound: CsRbZr
Source: OQMD via LeMat-Bulk
Functional: GGA-PBE
Structure: optimized geometry

Its total energy is -1.90 eV/atom.

Unit cell a=9.2685 b=9.2685 c=9.2685 alpha=90.00 beta=90.00 gamma=90.00
Last column: nearest neighbours and their distance in Å.
Space group F-43m (No. 216)
Symmetry-distinct sites (fractional):
Cs: 0.0000 0.0000 0.0000 x4  4 Zr 4.01, 4 Rb 4.01
Rb: 0.2500 0.2500 0.7500 x4  4 Cs 4.01
Zr: 0.2500 0.2500 0.2500 x4  4 Cs 4.01

***

Compound: Cs2Re
Source: OQMD via LeMat-Bulk
Functional: GGA-PBE
Structure: optimized geometry

Its total energy is -2.29 eV/atom.

Unit cell a=13.2087 b=13.2087 c=13.2087 alpha=90.00 beta=90.00 gamma=90.00
Last column: nearest neighbours and their distance in Å.
Space group Fd-3m (No. 227, origin choice 2)
Symmetry-distinct sites (fractional):
Cs: 0.0000 0.0000 0.0000 x16  2 Re 2.86
Re: 0.1250 0.1250 0.1250 x8  4 Cs 2.86

***

Compound: CsRe
Source: OQMD via LeMat-Bulk
Functional: GGA-PBE
Structure: optimized geometry

The calculation puts the energy above the lowest structure with this stoichiometry at 785 meV per atom.

Unit cell a=7.4078 b=7.4078 c=7.4078 alpha=90.00 beta=90.00 gamma=90.00
Last column: nearest neighbours and their distance in Å.
Space group Fm-3m (No. 225)
Symmetry-distinct sites (fractional):
Cs: 0.0000 0.0000 0.0000 x4  6 Re 3.70
Re: 0.0000 0.0000 0.5000 x4  6 Cs 3.70

***

Compound: Cs2Re2S5
Source: OQMD via LeMat-Bulk
Functional: GGA-PBE
Structure: optimized geometry

Its total energy is -6.05 eV/atom.

Unit cell a=13.9470 b=13.9470 c=28.7595 alpha=90.00 beta=90.00 gamma=120.00
Last column: nearest neighbours and their distance in Å.
Space group R-3c (No. 167, hexagonal axes)
Symmetry-distinct sites (fractional):
Cs: 0.0217 0.2064 0.1789 x36  7 S 3.42-3.79
Re: 0.0144 0.1153 0.5373 x36  5 S 2.42-2.47, 4 Re 2.63
S: 0.0000 0.0000 0.1027 x12  3 Re 2.42
S: 0.0000 0.0000 0.2500 x6  6 Cs 3.42
S: 0.0247 0.2509 0.5952 x36  1 S 2.10
S: 0.0265 0.2129 0.4659 x36  3 Re 2.42-2.43

***

Compound: Cs4Re6S13
Source: OQMD via LeMat-Bulk
Functional: GGA-PBE
Structure: optimized geometry

Its total energy is -6.50 eV/atom.

Unit cell a=10.0976 b=17.2592 c=13.8714 alpha=90.00 beta=100.52 gamma=90.00
Last column: nearest neighbours and their distance in Å.
Space group C2/c (No. 15)
Symmetry-distinct sites (fractional):
Cs: 0.2050 0.0216 0.2859 x8  6 S 3.32-3.69
Cs: 0.2172 0.3755 0.4133 x8  6 S 3.35-3.72
Re: 0.1324 0.2163 0.0788 x8  5 S 2.42-2.44, 4 Re 2.62-2.64
Re: 0.1405 0.2055 0.8910 x8  5 S 2.39-2.47, 4 Re 2.63-2.65
Re: 0.1536 0.3428 0.9779 x8  5 S 2.41-2.55, 4 Re 2.62-2.65
S: 0.0000 0.1406 0.7500 x4  2 Re 2.47
S: 0.0136 0.4652 0.9381 x8  1 S 2.15
S: 0.0406 0.1827 0.3259 x8  1 S 2.12
S: 0.0460 0.2631 0.5498 x8  3 Re 2.40-2.43
S: 0.1288 0.0921 0.9947 x8  3 Re 2.44
S: 0.1516 0.3439 0.1517 x8  3 Re 2.41-2.44
S: 0.1681 0.3239 0.8074 x8  3 Re 2.39-2.42

***

Compound: Cs2ReSeS2
Source: OQMD via LeMat-Bulk
Functional: GGA-PBE
Structure: optimized geometry

Its total energy is -5.06 eV/atom.

Unit cell a=14.4159 b=7.2550 c=10.3580 alpha=90.00 beta=127.00 gamma=90.00
Last column: nearest neighbours and their distance in Å.
Space group C2/m (No. 12)
Symmetry-distinct sites (fractional):
Cs: 0.0781 0.0000 0.3597 x4  4 S 3.59-3.66, 3 Se 3.64-3.66
Cs: 0.2057 0.5000 0.8163 x4  5 S 3.57-3.90, 2 Se 3.62-3.78
Re: 0.1027 0.5000 0.1518 x4  3 S 2.24-2.27, 1 Se 2.39
Se: 0.1042 0.5000 0.3837 x4  1 Re 2.39
S: 0.0000 0.2493 0.0000 x4  2 Re 2.27
S: 0.2198 0.0000 0.7871 x4  1 Re 2.24

***

Compound: CsTaReS5
Source: OQMD via LeMat-Bulk
Functional: GGA-PBE
Structure: optimized geometry

Its total energy is -6.56 eV/atom.

Unit cell a=7.2588 b=7.6852 c=8.5375 alpha=109.98 beta=96.79 gamma=100.60
Last column: nearest neighbours and their distance in Å.
Space group P-1 (No. 2)
Symmetry-distinct sites (fractional):
Cs: 0.1556 0.3976 0.1978 x2  7 S 3.42-3.75
Ta: 0.2430 0.9844 0.5290 x2  4 S 2.30-2.57
Re: 0.4984 0.0102 0.8363 x2  5 S 2.24-2.43
S: 0.0396 0.2296 0.5050 x2  1 Ta 2.30
S: 0.1976 0.8916 0.2053 x2  1 Re 2.31, 1 Ta 2.57
S: 0.3070 0.2048 0.8140 x2  1 Re 2.26, 1 Ta 2.37
S: 0.3732 0.7488 0.8845 x2  2 Re 2.24-2.41
S: 0.4704 0.7981 0.5432 x2  1 Ta 2.39, 1 Re 2.43

***

Compound: Cs2ReTe2S
Source: OQMD via LeMat-Bulk
Functional: GGA-PBE
Structure: optimized geometry

Its total energy is -4.63 eV/atom.

Unit cell a=15.1551 b=7.7313 c=10.8281 alpha=90.00 beta=124.67 gamma=90.00
Last column: nearest neighbours and their distance in Å.
Space group C2/m (No. 12)
Symmetry-distinct sites (fractional):
Cs: 0.0839 0.0000 0.3511 x4  5 Te 3.80-3.89, 2 S 3.87
Cs: 0.1960 0.5000 0.8146 x4  5 Te 3.85-3.94
Re: 0.0937 0.5000 0.1451 x4  2 S 2.25
Te: 0.1116 0.5000 0.3970 x4  1 Re 2.58
Te: 0.2083 0.0000 0.7710 x4  1 Re 2.59
S: 0.0000 0.2714 0.0000 x4  2 Re 2.25

***

Compound: CsRe3Sb5
Source: OQMD via LeMat-Bulk
Functional: GGA-PBE
Structure: optimized geometry

Its total energy is -6.25 eV/atom.

Unit cell a=5.6203 b=5.6203 c=9.7887 alpha=90.00 beta=90.00 gamma=120.00
Last column: nearest neighbours and their distance in Å.
Space group P6/mmm (No. 191)
Symmetry-distinct sites (fractional):
Cs: 0.0000 0.0000 0.0000 x1  12 Sb 4.17
Re: 0.0000 0.5000 0.5000 x3  6 Sb 2.80-2.81, 4 Re 2.81
Sb: 0.0000 0.0000 0.5000 x1  6 Re 2.81
Sb: 0.3333 0.6667 0.2669 x4  3 Re 2.80